Record 1
Density functional theory data (PBE) for crystalline CoSbRh2 at its relaxed geometry.

Calculated values
V = 59.3 Å³/cell
Uncorrected formation energy = -0.197 eV/atom
E_tot = -6.680 eV per atom

a = 4.6422 Å, b = 4.6422 Å, c = 4.6422 Å
α = 128.71°, β = 128.70°, γ = 75.49°
Last column: nearest neighbours and their distance in Å.
Fractional positions:
Sb 0.7500 0.2500 0.5000  8 Rh 2.72, 4 Co 2.84
Rh 0.0000 0.0000 0.0000  4 Co 2.72, 4 Sb 2.72, 4 Rh 2.84
Rh 0.5000 0.5000 0.0000  4 Co 2.72, 4 Sb 2.72, 4 Rh 2.84
Co 0.2500 0.7500 0.5000  8 Rh 2.72, 4 Sb 2.84



Record 2
Density functional theory data (PBE) for crystalline CoSbRh2 at its relaxed geometry.

Calculated values
V = 60.6 Å³/cell
Uncorrected formation energy = -0.029 eV/atom
E_tot = -6.512 eV per atom

a = 4.8667 Å, b = 4.8667 Å, c = 4.5531 Å
α = 73.13°, β = 73.13°, γ = 36.15°
Last column: nearest neighbours and their distance in Å.
Fractional positions:
Co 0.2414 0.2414 0.2005  7 Rh 2.61-2.81, 2 Sb 2.67
Rh 0.9831 0.9831 0.0581  3 Co 2.61-2.66, 4 Sb 2.72-2.76
Rh 0.7637 0.7637 0.7067  3 Sb 2.66-2.68, 4 Co 2.66-2.81, 1 Rh 2.94
Sb 0.5118 0.5118 0.5347  7 Rh 2.66-2.76, 2 Co 2.67



Record 3
Density functional theory data (PBE) for crystalline CoSbRh at its relaxed geometry.

Calculated values
V = 46.9 Å³/cell
Uncorrected formation energy = 0.053 eV/atom
E_tot = -6.141 eV per atom

a = 4.2210 Å, b = 4.2210 Å, c = 3.0374 Å
α = 90.00°, β = 90.00°, γ = 120.00°
Last column: nearest neighbours and their distance in Å.
Fractional positions:
Co 0.0000 0.0000 0.9026  3 Sb 2.49
Rh 0.6667 0.3333 0.3664  3 Sb 2.68, 6 Co 2.81-2.93
Sb 0.3333 0.6667 0.7309  3 Co 2.49, 3 Rh 2.68



Record 4
Density functional theory data (PBE) for crystalline CoSbRh2 at its relaxed geometry.

Calculated values
V = 61.7 Å³/cell
Uncorrected formation energy = 0.126 eV/atom
E_tot = -6.357 eV per atom

a = 4.4881 Å, b = 2.9356 Å, c = 4.6836 Å
α = 88.57°, β = 90.00°, γ = 90.00°
Last column: nearest neighbours and their distance in Å.
Fractional positions:
Co 0.5000 0.7500 0.7500  4 Rh 2.61, 4 Sb 2.73-2.79
Rh 0.0000 0.9881 0.9904  2 Co 2.61, 2 Sb 2.67, 4 Rh 2.68-2.91
Rh 0.0000 0.5119 0.5096  2 Co 2.61, 2 Sb 2.67, 4 Rh 2.68-2.91
Sb 0.5000 0.2500 0.2500  4 Rh 2.67, 4 Co 2.73-2.79, 2 Sb 2.94



Record 5
Density functional theory data (PBE) for crystalline CoSbRh2 at its relaxed geometry.

Calculated values
V = 63.8 Å³/cell
Uncorrected formation energy = 0.203 eV/atom
E_tot = -6.279 eV per atom

a = 8.2488 Å, b = 8.2488 Å, c = 8.2488 Å
α = 21.11°, β = 21.11°, γ = 21.11°
Last column: nearest neighbours and their distance in Å.
Fractional positions:
Co 0.7500 0.7500 0.7500  6 Rh 2.60
Rh 0.0036 0.0036 0.0036  3 Co 2.60, 3 Sb 2.73
Rh 0.4964 0.4964 0.4964  3 Co 2.60, 3 Sb 2.73
Sb 0.2500 0.2500 0.2500  6 Rh 2.73, 6 Sb 3.02



Record 6
Density functional theory data (PBE) for crystalline CoSbRh2 at its relaxed geometry.

Calculated values
V = 60.4 Å³/cell
Uncorrected formation energy = -0.023 eV/atom
E_tot = -6.506 eV per atom

a = 4.5620 Å, b = 4.5620 Å, c = 2.9867 Å
α = 90.00°, β = 90.00°, γ = 103.58°
Last column: nearest neighbours and their distance in Å.
Fractional positions:
Co 0.0000 0.5000 0.5000  8 Rh 2.73, 2 Sb 2.82, 2 Co 2.99
Rh 0.0000 0.0000 0.0000  4 Sb 2.73, 4 Co 2.73, 4 Rh 2.82-2.99
Rh 0.5000 0.5000 0.0000  4 Co 2.73, 4 Sb 2.73, 4 Rh 2.82-2.99
Sb 0.5000 0.0000 0.5000  8 Rh 2.73, 2 Co 2.82, 2 Sb 2.99



Record 7
Density functional theory data (PBE) for crystalline CoSbRh at its relaxed geometry.

Calculated values
V = 46.8 Å³/cell
Uncorrected formation energy = 0.044 eV/atom
E_tot = -6.149 eV per atom

a = 4.6877 Å, b = 4.6877 Å, c = 4.6877 Å
α = 141.49°, β = 132.41°, γ = 62.81°
Last column: nearest neighbours and their distance in Å.
Fractional positions:
Co 0.9963 0.9963 0.0000  5 Sb 2.63-2.80, 5 Rh 2.72-2.76
Rh 0.3359 0.3359 0.0000  5 Sb 2.66-2.79, 5 Co 2.72-2.76
Sb 0.6678 0.6678 0.0000  5 Co 2.63-2.80, 5 Rh 2.66-2.79



Record 8
Density functional theory data (PBE) for crystalline CoSb3Rh at its relaxed geometry.

Calculated values
V = 112.4 Å³/cell
Uncorrected formation energy = 0.513 eV/atom
E above lowest polymorph = 0.000 eV/atom
E_tot = -4.852 eV per atom

a = 4.8264 Å, b = 4.8264 Å, c = 4.8264 Å
α = 90.00°, β = 90.00°, γ = 90.00°
Last column: nearest neighbours and their distance in Å.
Fractional positions:
Sb 0.0000 0.5000 0.0000  2 Co 2.41
Sb 0.0000 0.0000 0.5000  2 Co 2.41
Sb 0.5000 0.0000 0.0000  2 Co 2.41
Rh 0.5000 0.5000 0.5000  12 Sb 3.41
Co 0.0000 0.0000 0.0000  6 Sb 2.41



Record 9
Density functional theory data (PBE) for crystalline Co2Sb8Rh at its relaxed geometry.

Calculated values
V = 273.6 Å³/cell
Uncorrected formation energy = -0.026 eV/atom
E_tot = -4.985 eV per atom

a = 5.0368 Å, b = 8.7349 Å, c = 7.6010 Å
α = 125.08°, β = 90.71°, γ = 90.00°
Last column: nearest neighbours and their distance in Å.
Fractional positions:
Co 0.2352 0.3762 0.7524  6 Sb 2.48-2.63
Co 0.7649 0.6238 0.2476  6 Sb 2.48-2.63
Sb 0.2510 0.5874 0.1747  3 Co 2.50-2.63
Sb 0.7490 0.4126 0.8253  3 Co 2.50-2.63
Sb 0.6992 0.8738 0.1778  1 Co 2.55, 1 Rh 2.66
Sb 0.3001 0.1793 0.3584  1 Co 2.48, 1 Rh 2.67
Sb 0.3009 0.6961 0.8224  1 Co 2.55, 1 Rh 2.66
Sb 0.3008 0.1262 0.8222  1 Co 2.55, 1 Rh 2.66
Sb 0.6999 0.8207 0.6416  1 Co 2.48, 1 Rh 2.67
Sb 0.6991 0.3039 0.1776  1 Co 2.55, 1 Rh 2.66
Rh 0.0000 0.0000 0.0000  6 Sb 2.66-2.67



Record 10
Density functional theory data (PBE) for crystalline Co4SbRh at its relaxed geometry.

Calculated values
V = 78.7 Å³/cell
Uncorrected formation energy = 0.161 eV/atom
E_tot = -6.488 eV per atom

a = 4.8097 Å, b = 4.8097 Å, c = 4.8097 Å
α = 60.00°, β = 60.00°, γ = 60.00°
Last column: nearest neighbours and their distance in Å.
Fractional positions:
Co 0.8732 0.3756 0.3756  6 Co 2.39-2.42
Co 0.3756 0.3756 0.8732  6 Co 2.39-2.42
Co 0.3756 0.8732 0.3756  6 Co 2.39-2.42
Co 0.3756 0.3756 0.3756  6 Co 2.39-2.42
Sb 0.0000 0.0000 0.0000  12 Co 2.82, 4 Rh 2.95
Rh 0.7500 0.7500 0.7500  12 Co 2.82, 4 Sb 2.95



Record 11
Density functional theory data (PBE) for crystalline CoSb4Rh at its relaxed geometry.

Calculated values
V = 151.4 Å³/cell
Uncorrected formation energy = 1.057 eV/atom
E_tot = -4.101 eV per atom

a = 5.9825 Å, b = 5.9825 Å, c = 5.9825 Å
α = 60.00°, β = 60.00°, γ = 60.00°
Last column: nearest neighbours and their distance in Å.
Fractional positions:
Co 0.7500 0.7500 0.7500  12 Sb 3.51, 4 Rh 3.66
Sb 0.8736 0.3755 0.3755  6 Sb 2.98-3.00
Sb 0.3755 0.3755 0.8736  6 Sb 2.98-3.00
Sb 0.3755 0.8736 0.3755  6 Sb 2.98-3.00
Sb 0.3755 0.3755 0.3755  6 Sb 2.98-3.00
Rh 0.0000 0.0000 0.0000  12 Sb 3.51, 4 Co 3.66



Record 12
Density functional theory data (PBE) for crystalline Co2SbRh2 at its relaxed geometry.

Calculated values
V = 146.2 Å³/cell
Uncorrected formation energy = 0.142 eV/atom
E_tot = -6.466 eV per atom

a = 6.2749 Å, b = 6.2749 Å, c = 3.7142 Å
α = 90.00°, β = 90.00°, γ = 90.00°
Last column: nearest neighbours and their distance in Å.
Fractional positions:
Sb 0.0000 0.0000 0.0000  4 Co 2.47
Sb 0.5000 0.5000 0.0000  4 Co 2.47
Rh 0.1550 0.6550 0.5000  6 Co 2.58-2.67, 1 Rh 2.75
Rh 0.6550 0.8450 0.5000  6 Co 2.58-2.67, 1 Rh 2.75
Rh 0.8450 0.3450 0.5000  6 Co 2.58-2.67, 1 Rh 2.75
Rh 0.3450 0.1550 0.5000  6 Co 2.58-2.67, 1 Rh 2.75
Co 0.3714 0.8714 0.0000  1 Co 2.28, 2 Sb 2.47
Co 0.8714 0.6286 0.0000  1 Co 2.28, 2 Sb 2.47
Co 0.6286 0.1286 0.0000  1 Co 2.28, 2 Sb 2.47
Co 0.1286 0.3714 0.0000  1 Co 2.28, 2 Sb 2.47



Record 13
Density functional theory data (PBE) for crystalline Co2SnSbRh at its relaxed geometry.

Calculated values
V = 117.1 Å³/cell
Uncorrected formation energy = 1.517 eV/atom
E_tot = -4.421 eV per atom

a = 4.6026 Å, b = 5.5270 Å, c = 4.6026 Å
α = 90.00°, β = 90.00°, γ = 90.00°
Last column: nearest neighbours and their distance in Å.
Fractional positions:
Sb 0.0000 0.5000 0.0000  2 Sn 2.76
Rh 0.5000 0.5000 0.5000  4 Sb 3.25, 8 Co 3.60
Sn 0.0000 0.0000 0.0000  4 Co 2.30
Co 0.0000 0.0000 0.5000  2 Sn 2.30
Co 0.5000 0.0000 0.0000  2 Sn 2.30